(1)
Density functional theory data (PBE) for crystalline LaPr3Nd2As6 at its relaxed geometry. Values from VASP.

```
&SYSTEM
  ibrav = 0, nat = 12, ntyp = 4
/
ATOMIC_SPECIES
La 138.91 La.upf
Pr 140.91 Pr.upf
Nd 144.24 Nd.upf
As 74.92 As.upf
ATOMIC_POSITIONS angstrom
La 0.000 0.000 0.000
Pr -4.404 -3.089 -2.866
Pr -3.507 4.986 0.019
Pr -3.955 0.948 -1.424
Nd -1.035 -0.713 -4.121
Nd -0.587 3.323 -2.679
As -5.710 3.450 -1.402
As -2.779 1.773 -4.099
As -2.201 -1.553 -1.445
As -6.161 -0.611 -2.853
As -5.131 0.123 1.252
As -1.749 2.507 0.005
CELL_PARAMETERS angstrom
-0.139 7.357 -1.238
-1.484 -4.747 -5.562
-6.288 -0.714 3.953
```

(2)
Density functional theory data (PBE) for crystalline Ca3PaPt4 at its relaxed geometry. Values from VASP.

```
&SYSTEM
  ibrav = 0, nat = 8, ntyp = 3
/
ATOMIC_SPECIES
Ca 40.08 Ca.upf
Pa 231.04 Pa.upf
Pt 195.08 Pt.upf
ATOMIC_POSITIONS angstrom
Ca -0.172 2.383 -0.634
Ca 3.295 0.961 2.718
Ca 0.700 3.307 2.592
Pa 2.387 -0.001 -0.643
Pt 1.377 1.457 5.096
Pt 2.619 2.811 0.214
Pt 0.403 0.427 1.492
Pt 3.592 3.840 3.818
CELL_PARAMETERS angstrom
4.774 -0.001 -1.287
-0.344 4.767 -1.268
-0.435 -0.497 7.865
```

no.,total magnetization (μB per formula unit),D(E_F) (states/eV/cell),energy relative to the elements (kJ/mol of atoms)
1,0.00,1.4,-146.32
2,0.00,5.4,-88.94